The following is a DFT calculation (GGA-PBE) of an optimized crystal structure of Ba2MgAg.

Cell: 4.7451 4.7451 9.6848 Å, 75.80 75.80 59.89°
Fractional positions:
Ba 0.9887 0.9887 0.0348
Ba 0.5113 0.5113 0.4652
Mg 0.7500 0.7500 0.7500
Ag 0.2500 0.2500 0.2500

Properties
DOS at the Fermi energy: 3.49 states/eV/f.u.
space-group type: C2/m (12)
formation energy: 0.01 eV per atom
E: -8.27 eV for the cell shown
crystal system: monoclinic